The following is a GGA-PBEsol calculation of a relaxed structure of MnInAs2, from Alexandria.

Cell and atoms, written as extended XYZ:
```
4
Lattice="3.8230 0.1444 0.0000 -0.1486 3.8229 0.0000 0.0000 0.0000 5.4360" Properties=species:S:1:pos:R:3 pbc="T T T"
As 0.2828 3.4233 0.0000
As 2.3946 1.4674 2.7180
In 2.2513 1.6001 0.0000
Mn 0.3920 3.3221 2.7180
```

Calculated values
DFT formation energy   0.4 eV/f.u.
VASP energy   -22.53 eV per cell


The following is a GGA-PBEsol calculation of a relaxed structure of Mn2InAs, from Alexandria.

Cell and atoms, written as extended XYZ:
```
4
Lattice="2.9577 0.0000 0.0000 0.0000 2.9577 0.0000 0.0000 0.0000 6.7349" Properties=species:S:1:pos:R:3 pbc="T T T"
As 1.4788 1.4788 3.3675
In 1.4788 1.4788 0.0000
Mn 0.0000 0.0000 2.0055
Mn 0.0000 0.0000 4.7294
```

Calculated values
DFT formation energy   0.6 eV/f.u.
VASP energy   -27.04 eV per cell


The following is a GGA-PBEsol calculation of a relaxed structure of MnInAs2, from Alexandria.

Cell and atoms, written as extended XYZ:
```
4
Lattice="-0.6318 0.8353 3.0191 2.9597 -1.7537 1.1045 2.3719 5.9380 -2.8378" Properties=species:S:1:pos:R:3 pbc="T T T"
As 0.5221 0.8089 -0.1146
As 3.3827 2.0716 0.1347
In 3.1423 4.8690 -0.6896
Mn 1.1886 2.7489 1.1794
```

Calculated values
DFT formation energy   0.3 eV/f.u.
VASP energy   -22.61 eV per cell


The following is a GGA-PBEsol calculation of a relaxed structure of Mn2InAs, from Alexandria.

Cell and atoms, written as extended XYZ:
```
4
Lattice="-0.4311 -3.3207 -1.6467 1.7929 -1.7708 3.1017 -3.7665 -0.4603 1.9144" Properties=species:S:1:pos:R:3 pbc="T T T"
As 0.6809 -2.5458 0.7275
In -2.0988 -1.8905 0.1339
Mn 0.0000 0.0000 0.0000
Mn -0.9868 -1.1156 2.5081
```

Calculated values
DFT formation energy   1.1 eV/f.u.
VASP energy   -26.50 eV per cell


The following is a GGA-PBEsol calculation of a relaxed structure of MnInAs2, from Alexandria.

Cell and atoms, written as extended XYZ:
```
4
Lattice="2.9214 0.0000 0.0000 0.0000 2.9213 0.0000 0.0000 0.0000 8.3203" Properties=species:S:1:pos:R:3 pbc="T T T"
As 0.0000 0.0000 5.5799
As 0.0000 0.0000 2.7404
In 1.4607 1.4606 0.0000
Mn 1.4607 1.4606 4.1602
```

Calculated values
DFT formation energy   0.0 eV/f.u.
VASP energy   -23.00 eV per cell


The following is a GGA-PBEsol calculation of a relaxed structure of MnIn2As, from Alexandria.

Cell and atoms, written as extended XYZ:
```
4
Lattice="4.2296 0.0000 0.0000 0.0000 4.2296 0.0000 -2.1148 -2.1148 4.3912" Properties=species:S:1:pos:R:3 pbc="T T T"
As 0.0000 2.1148 2.1956
In 0.0000 0.0000 0.0000
In 2.1148 0.0000 2.1956
Mn 2.1148 2.1148 0.0000
```

Calculated values
DFT formation energy   1.1 eV/f.u.
VASP energy   -19.75 eV per cell


The following is a GGA-PBEsol calculation of a relaxed structure of Mn2InAs, from Alexandria.

Cell and atoms, written as extended XYZ:
```
4
Lattice="-3.2356 -0.1667 0.0986 -1.4552 -2.0716 2.0243 -1.6722 4.4709 5.9686" Properties=species:S:1:pos:R:3 pbc="T T T"
As -3.1815 1.1163 4.0457
In 0.0000 0.0000 0.0000
Mn -1.5947 0.7486 2.2149
Mn -4.7683 1.4840 5.8765
```

Calculated values
DFT formation energy   0.9 eV/f.u.
VASP energy   -26.72 eV per cell


The following is a GGA-PBEsol calculation of a relaxed structure of MnInAsOs2, from Alexandria.

Cell and atoms, written as extended XYZ:
```
5
Lattice="4.4254 0.0000 0.0000 0.0000 4.4254 0.0000 0.0000 0.0000 4.6843" Properties=species:S:1:pos:R:3 pbc="T T T"
As 2.2127 2.2127 2.3422
Mn 0.0000 0.0000 0.0000
Os 0.0000 2.2127 0.0000
Os 2.2127 0.0000 0.0000
In 0.0000 0.0000 2.3422
```

Calculated values
DFT formation energy   7.2 eV/f.u.
VASP energy   -35.11 eV per cell


Calculated values (Mg/m³) of mass density for the records, taken in order: 6.7, 8.4, 7.0, 7.8, 7.5, 7.6, 7.4, 11.3.